# GGA-PBE NdTiHg2, relaxed
data_NdTiHg2
_chemical_formula_sum 'Nd1 Ti1 Hg2'
_space_group_name_H-M_alt 'P 4/m m m'
_space_group_IT_number 123
_space_group_name_Hall '-P 4 2'
_cell_length_a 3.5279
_cell_length_b 3.5279
_cell_length_c 7.4858
_cell_angle_alpha 90.00
_cell_angle_beta 90.00
_cell_angle_gamma 90.00
loop_
_atom_site_label
_atom_site_type_symbol
_atom_site_fract_x
_atom_site_fract_y
_atom_site_fract_z
_atom_site_occupancy
Nd1 Nd 0.0000 0.0000 0.0000 1
Ti1 Ti 0.0000 0.0000 0.5000 1
Hg1 Hg 0.5000 0.5000 0.2894 1
# Energy relative to the elements: -0.17 eV per atom
# Total magnetization: 0.3120 μB per atom
# ΔE to the lowest computed polymorph: 0.000 eV per atom
# Crystal system: tetragonal